First-principles (PBE-GGA) data for CsBeFeS3 after structural relaxation, as listed in OQMD.

Unit cell a=3.553 b=15.455 c=9.482 alpha=90.00 beta=90.00 gamma=90.00
Space group Cmcm (No. 63)
Asymmetric unit:
Cs: 0.000 0.239 0.250 [4 per cell]
Be: 0.000 0.032 0.750 [4 per cell]
Fe: 0.000 0.500 0.000 [4 per cell]
S: 0.000 0.100 0.559 [8 per cell]
S: 0.000 0.454 0.750 [4 per cell]

First-principles (PBE-GGA) data for CsBeFeSe3 after structural relaxation, as listed in OQMD.

Unit cell a=3.724 b=16.169 c=9.992 alpha=90.00 beta=90.00 gamma=90.00
Space group Cmcm (No. 63)
Asymmetric unit:
Cs: 0.000 0.242 0.250 [4 per cell]
Be: 0.000 0.032 0.750 [4 per cell]
Fe: 0.000 0.500 0.000 [4 per cell]
Se: 0.000 0.103 0.558 [8 per cell]
Se: 0.000 0.450 0.750 [4 per cell]

no.,total magnetic moment (Bohr magnetons per cell),VASP energy (eV/atom)
1,13.50,-4.93
2,14.55,-4.50